1.
Here is Cd2CuAg after structural relaxation from Alexandria via LeMat-Bulk. Energies are from PBE-GGA.

Computed properties:
symmetry = No. 8
total magnetic moment = 0.00 μB per formula unit
energy relative to the elements = 0.0202 eV/atom

Unit cell a=5.3746 b=5.3746 c=4.7736 alpha=110.06 beta=110.06 gamma=34.25
Closest atoms and distances in Å follow each position.
Positions (direct):
Cd1 0.0000 0.0000 0.0000  4 Cu 2.84-2.90, 3 Ag 2.95-2.98, 4 Cd 3.14-3.17
Cd2 0.2230 0.2230 0.6767  2 Cu 2.77, 4 Ag 2.88-2.90
Cu1 0.4858 0.4858 0.4965  2 Ag 2.71, 6 Cd 2.77-2.90
Ag1 0.7633 0.7633 0.2114  2 Cu 2.71, 7 Cd 2.88-2.98


2.
Here is KSr2Mo after structural relaxation from Alexandria via LeMat-Bulk. Energies are from PBE-GGA.

Computed properties:
polymorph energy (0 for the lowest one) = 209 meV/atom
symmetry = No. 44
total magnetic moment = 3.06 μB per formula unit
energy relative to the elements = 0.9645 eV/atom

Unit cell a=7.8947 b=7.8947 c=7.8947 alpha=151.34 beta=134.60 gamma=54.57
Closest atoms and distances in Å follow each position.
Positions (direct):
K1 0.0000 0.0000 0.0000  2 Mo 3.51, 2 K 3.91
Sr1 0.3893 0.3893 0.0000  2 Mo 3.21
Sr2 0.6978 0.1978 0.5000  4 Mo 3.62, 2 Sr 3.91
Mo1 0.2076 0.7076 0.5000  2 Sr 3.21, 2 K 3.51


3.
Here is BaSiP after structural relaxation from Alexandria via LeMat-Bulk. Energies are from PBE-GGA.

Computed properties:
formation energy (no corrections) = -0.476 eV per atom
polymorph energy (0 for the lowest one) = 0 meV/atom
symmetry = No. 187
total magnetic moment = 0.00 μB per formula unit

Unit cell a=4.3031 b=4.3031 c=4.8543 alpha=90.00 beta=90.00 gamma=120.00
Closest atoms and distances in Å follow each position.
Positions (direct):
Ba1 0.0000 0.0000 0.0000  6 Si 3.47, 6 P 3.47
Si1 0.3333 0.6667 0.5000  3 P 2.48
P1 0.6667 0.3333 0.5000  3 Si 2.48


4.
Here is Ca2AlP2Rh5 after structural relaxation from Alexandria via LeMat-Bulk. Energies are from PBE-GGA.

Computed properties:
symmetry = No. 127
total magnetic moment = 0.00 μB per formula unit
energy relative to the elements = -0.8333 eV/atom

Unit cell a=9.7348 b=9.7348 c=3.3667 alpha=90.00 beta=90.00 gamma=90.00
Closest atoms and distances in Å follow each position.
Positions (direct):
Ca1 0.1736 0.3264 0.0000  3 P 2.76-2.95, 6 Rh 2.92-3.04
Ca2 0.3264 0.8264 0.0000  3 P 2.76-2.95, 6 Rh 2.92-3.04
Ca3 0.6736 0.1736 0.0000  3 P 2.76-2.95, 6 Rh 2.92-3.04
Ca4 0.8264 0.6736 0.0000  3 P 2.76-2.95, 6 Rh 2.92-3.04
Al1 0.0000 0.0000 0.0000  8 Rh 2.76
Al2 0.5000 0.5000 0.0000  8 Rh 2.76
P1 0.1259 0.6259 0.0000  6 Rh 2.36-2.42
P2 0.3741 0.1259 0.0000  6 Rh 2.36-2.42
P3 0.6259 0.8741 0.0000  6 Rh 2.36-2.42
P4 0.8741 0.3741 0.0000  6 Rh 2.36-2.42
Rh1 0.0000 0.5000 0.5000  4 P 2.42
Rh2 0.0695 0.7869 0.5000  2 P 2.36
Rh3 0.2131 0.0695 0.5000  2 P 2.36
Rh4 0.2869 0.5695 0.5000  2 P 2.36
Rh5 0.4305 0.2869 0.5000  2 P 2.36
Rh6 0.5000 0.0000 0.5000  4 P 2.42
Rh7 0.5695 0.7131 0.5000  2 P 2.36
Rh8 0.7131 0.4305 0.5000  2 P 2.36
Rh9 0.7869 0.9305 0.5000  2 P 2.36
Rh10 0.9305 0.2131 0.5000  2 P 2.36